Record 1
Compound: NaTeRu2
Source: Alexandria
Functional: PBE
Structure: relaxed

## Properties
calculated volume = 20.41 A^3/atom
ΔE_f (raw) = 747 meV/atom
density = 7.2 g/cm³
VASP energy = -5.006 eV/atom
D(E_F) = 10.19 states/eV/cell

Cell: 6.0807 6.0807 6.0807 Å, 102.29 102.29 125.05°
Closest atoms and distances in Å follow each position.
Element x y z (fractional)
Na: 0.0000 0.0000 0.0000  2 Te 2.81, 4 Ru 3.11
Na: 0.7500 0.2500 0.5000  2 Te 2.81, 4 Ru 3.11
Te: 0.2500 0.7500 0.5000  4 Ru 2.51, 2 Na 2.81
Te: 0.5000 0.5000 0.0000  4 Ru 2.51, 2 Na 2.81
Ru: 0.1830 0.6250 0.0580  2 Te 2.51
Ru: 0.3750 0.4330 0.5580  2 Te 2.51
Ru: 0.5670 0.1250 0.9420  2 Te 2.51
Ru: 0.8750 0.8170 0.4420  2 Te 2.51

Record 2
Compound: La4Cd5Sn6
Source: Alexandria
Functional: PBE
Structure: relaxed

## Properties
calculated volume = 28.83 A^3/atom
density = 7.0 g/cm³
VASP energy = -3.748 eV/atom
D(E_F) = 4.42 states/eV/cell

Cell: 10.7730 10.7730 17.1543 Å, 90.00 90.00 154.26°
Closest atoms and distances in Å follow each position.
Element x y z (fractional)
La: 0.0234 0.9766 0.5000  7 Sn 3.37-3.50, 3 Cd 3.51-3.61
La: 0.0342 0.9658 0.7657  6 Sn 3.39-3.61, 5 Cd 3.43-3.50
La: 0.1652 0.8348 0.3007  6 Sn 3.28-3.42
La: 0.1749 0.8251 0.9470  6 Sn 3.21-3.31
La: 0.8251 0.1749 0.4470  6 Sn 3.21-3.31
La: 0.8348 0.1652 0.8007  6 Sn 3.28-3.42
La: 0.9658 0.0342 0.2657  6 Sn 3.39-3.61, 5 Cd 3.43-3.50
La: 0.9766 0.0234 0.0000  7 Sn 3.37-3.50, 3 Cd 3.51-3.61
Cd: 0.1533 0.8467 0.6286  4 Sn 2.93-3.00, 1 Cd 3.14
Cd: 0.3025 0.6975 0.6232  4 Sn 2.93-3.07, 2 Cd 3.02-3.14
Cd: 0.3451 0.6549 0.2796  4 Sn 2.89-3.13
Cd: 0.3488 0.6512 0.9838  4 Sn 2.86-3.09
Cd: 0.4352 0.5648 0.6901  4 Sn 2.87-2.95, 1 Cd 3.02
Cd: 0.5648 0.4352 0.1901  4 Sn 2.87-2.95, 1 Cd 3.02
Cd: 0.6512 0.3488 0.4838  4 Sn 2.86-3.09
Cd: 0.6549 0.3451 0.7796  4 Sn 2.89-3.13
Cd: 0.6975 0.3025 0.1232  4 Sn 2.93-3.07, 2 Cd 3.02-3.14
Cd: 0.8467 0.1533 0.1286  4 Sn 2.93-3.00, 1 Cd 3.14
Sn: 0.1067 0.8933 0.1147  4 Cd 2.87-3.07
Sn: 0.2251 0.7749 0.4807  4 Cd 2.86-2.95
Sn: 0.2315 0.7685 0.7702  4 Cd 2.89-2.93
Sn: 0.4309 0.5691 0.4168  1 Sn 2.88, 1 Cd 2.96
Sn: 0.4327 0.5673 0.1319  5 Cd 2.95-3.13
Sn: 0.4407 0.5593 0.8578  2 Cd 2.88-2.90, 1 Sn 2.88
Sn: 0.5593 0.4407 0.3578  2 Cd 2.88-2.90, 1 Sn 2.88
Sn: 0.5673 0.4327 0.6319  5 Cd 2.95-3.13
Sn: 0.5691 0.4309 0.9168  1 Sn 2.88, 1 Cd 2.96
Sn: 0.7685 0.2315 0.2702  4 Cd 2.89-2.93
Sn: 0.7749 0.2251 0.9807  4 Cd 2.86-2.95
Sn: 0.8933 0.1067 0.6147  4 Cd 2.87-3.07